# 1
# NdDy2Er2Tm2

An optimized crystal structure of NdDy2Er2Tm2 (GGA-PBE, Alexandria).

Calculated values
Magnetization in μB per formula unit: 0.0
Calculated density in g/cm3: 8.4
ΔE_f in eV/atom: 0.150
Density of states at the Fermi level in states/eV per cell: 11.1

Structure (POSCAR):
```
NdDy2Er2Tm2
1.0
3.478 0.000 0.000
-1.739 8.675 -1.227
0.000 -2.653 7.869
Dy Nd Tm Er
2 1 2 2
direct
0.572 0.145 0.913 Dy
0.428 0.855 0.087 Dy
0.000 0.000 0.500 Nd
0.350 0.700 0.608 Tm
0.650 0.300 0.392 Tm
0.211 0.423 0.797 Er
0.789 0.577 0.203 Er
```

=====

# 2
# SrSmC2O6

An optimized crystal structure of SrSmC2O6 (GGA-PBE, Alexandria).

Calculated values
Magnetization in μB per formula unit: 1.0
Calculated density in g/cm3: 4.5
Density of states at the Fermi level in states/eV per cell: 3.6
Formation energy without anion corrections in eV per formula unit: -21.0

Structure (POSCAR):
```
SrSmC2O6
1.0
-0.171 -3.315 -5.504
6.242 -0.697 1.365
-3.146 -4.141 4.515
C O Sr Sm
4 12 2 2
direct
0.873 0.652 0.767 C
0.348 0.127 0.733 C
0.652 0.873 0.267 C
0.127 0.348 0.233 C
0.515 0.279 0.877 O
0.377 0.928 0.663 O
0.072 0.623 0.837 O
0.800 0.797 0.385 O
0.200 0.203 0.615 O
0.928 0.377 0.163 O
0.623 0.072 0.337 O
0.797 0.800 0.885 O
0.203 0.200 0.115 O
0.485 0.721 0.123 O
0.721 0.485 0.623 O
0.279 0.515 0.377 O
0.144 0.856 0.250 Sr
0.856 0.144 0.750 Sr
0.596 0.404 0.250 Sm
0.404 0.596 0.750 Sm
```

=====

# 3
# LiPt2Br

An optimized crystal structure of LiPt2Br (GGA-PBE, Alexandria).

Calculated values
Magnetization in μB per formula unit: 0.0
Calculated density in g/cm3: 11.0
Density of states at the Fermi level in states/eV per cell: 5.1
Formation energy without anion corrections in eV per formula unit: -0.4

Structure (POSCAR):
```
LiPt2Br
1.0
-3.205 1.891 -0.506
0.255 -0.559 -3.704
-6.744 -8.012 -1.157
Li Pt Br
2 4 2
direct
0.250 0.750 0.500 Li
0.500 0.500 0.000 Li
0.875 0.869 0.750 Pt
0.131 0.625 0.250 Pt
0.375 0.381 0.750 Pt
0.619 0.125 0.250 Pt
0.000 0.000 0.000 Br
0.750 0.250 0.500 Br
```

=====

# 4
# Na2PaTcN4

An optimized crystal structure of Na2PaTcN4 (GGA-PBE, Alexandria).

Calculated values
Magnetization in μB per formula unit: 0.0
Calculated density in g/cm3: 5.6
Density of states at the Fermi level in states/eV per cell: 4.5
Formation energy without anion corrections in eV per formula unit: -3.4

Structure (POSCAR):
```
Na2PaTcN4
1.0
5.620 -0.159 -0.244
-2.539 5.017 0.244
-2.539 -1.796 4.691
Na Pa N Tc
2 1 4 1
direct
0.500 0.750 0.250 Na
0.000 0.000 0.000 Na
0.500 0.250 0.750 Pa
0.951 0.576 0.162 N
0.415 0.838 0.789 N
0.049 0.211 0.625 N
0.585 0.375 0.424 N
0.000 0.500 0.500 Tc
```

=====

# 5
# CeSmErHg

An optimized crystal structure of CeSmErHg (GGA-PBE, Alexandria).

Calculated values
Magnetization in μB per formula unit: 2.7
Calculated density in g/cm3: 10.0
ΔE_f in eV/atom: 0.013
Density of states at the Fermi level in states/eV per cell: 8.9

Structure (POSCAR):
```
CeSmErHg
1.0
5.366 0.000 0.000
2.683 4.647 0.000
2.683 1.549 4.381
Er Hg Sm Ce
1 1 1 1
direct
0.000 0.000 0.000 Er
0.250 0.250 0.250 Hg
0.500 0.500 0.500 Sm
0.750 0.750 0.750 Ce
```

=====

# 6
# BaPuTl2Br8

An optimized crystal structure of BaPuTl2Br8 (GGA-PBE, Alexandria).

Calculated values
Magnetization in μB per formula unit: 4.0
Calculated density in g/cm3: 4.6
Density of states at the Fermi level in states/eV per cell: 5.8
Formation energy without anion corrections in eV per formula unit: -16.3

Structure (POSCAR):
```
BaPuTl2Br8
1.0
7.432 -0.117 -0.004
-0.107 7.362 -0.009
0.005 0.011 9.424
Tl Br Pu Ba
2 8 1 1
direct
0.500 0.500 0.750 Tl
0.500 0.500 0.250 Tl
0.870 0.225 0.215 Br
0.316 0.197 0.000 Br
0.684 0.803 0.000 Br
0.130 0.775 0.215 Br
0.870 0.225 0.785 Br
0.649 0.740 0.500 Br
0.130 0.775 0.785 Br
0.351 0.260 0.500 Br
0.000 0.000 0.000 Pu
0.000 0.000 0.500 Ba
```

=====

# 7
# Mg2H5Ir2

An optimized crystal structure of Mg2H5Ir2 (GGA-PBE, Alexandria).

Calculated values
Magnetization in μB per formula unit: 0.0
Calculated density in g/cm3: 8.9
Calculated total energy in eV per atom: -4.421
Density of states at the Fermi level in states/eV per cell: 1.8

Structure (POSCAR):
```
Mg2H5Ir2
1.0
4.787 -0.003 -0.434
-2.393 3.548 -2.187
0.002 0.003 4.806
Mg H Ir
2 5 2
direct
0.868 0.737 0.803 Mg
0.367 0.736 0.303 Mg
0.867 0.237 0.802 H
0.868 0.237 0.303 H
0.368 0.737 0.803 H
0.369 0.237 0.303 H
0.868 0.737 0.303 H
0.595 0.237 0.030 Ir
0.141 0.237 0.576 Ir
```

=====

# 8
# CaSnTe3

An optimized crystal structure of CaSnTe3 (GGA-PBE, Alexandria).

Calculated values
Magnetization in μB per formula unit: 0.0
Calculated density in g/cm3: 4.8
Density of states at the Fermi level in states/eV per cell: 2.9
Formation energy without anion corrections in eV per formula unit: -1.1

Structure (POSCAR):
```
CaSnTe3
1.0
-0.456 -0.950 5.613
-4.946 -2.722 -0.863
2.819 -4.930 -0.605
Te Sn Ca
3 1 1
direct
0.000 0.000 0.500 Te
0.000 0.500 0.000 Te
0.500 0.000 0.000 Te
0.000 0.000 0.000 Sn
0.500 0.500 0.500 Ca
```

=====

# 9
# Hg3Bi2Pb7

An optimized crystal structure of Hg3Bi2Pb7 (GGA-PBE, Alexandria).

Calculated values
Magnetization in μB per formula unit: 0.0
Calculated density in g/cm3: 11.3
ΔE_f in eV/atom: 0.021
Density of states at the Fermi level in states/eV per cell: 5.5

Structure (POSCAR):
```
Hg3Bi2Pb7
1.0
-4.066 2.648 3.629
-5.399 -2.369 -1.389
1.949 -5.568 8.915
Pb Hg Bi
7 3 2
direct
0.890 0.587 0.168 Pb
0.110 0.413 0.832 Pb
0.413 0.111 0.168 Pb
0.267 0.267 0.500 Pb
0.733 0.733 0.500 Pb
0.587 0.889 0.832 Pb
0.000 0.000 0.000 Pb
0.319 0.681 0.325 Hg
0.681 0.319 0.675 Hg
0.500 0.500 0.000 Hg
0.157 0.843 0.661 Bi
0.843 0.157 0.339 Bi
```

=====

# 10
# Er4Cd2InAu

An optimized crystal structure of Er4Cd2InAu (GGA-PBE, Alexandria).

Calculated values
Magnetization in μB per formula unit: 0.0
Calculated density in g/cm3: 10.1
ΔE_f in eV/atom: -0.487
Density of states at the Fermi level in states/eV per cell: 5.0

Structure (POSCAR):
```
Er4Cd2InAu
1.0
5.209 0.000 0.000
2.605 4.511 0.000
2.605 1.504 8.456
Er In Au Cd
4 1 1 2
direct
0.129 0.129 0.613 Er
0.380 0.380 0.860 Er
0.871 0.871 0.387 Er
0.620 0.620 0.140 Er
0.000 0.000 0.000 In
0.500 0.500 0.500 Au
0.746 0.746 0.762 Cd
0.254 0.254 0.238 Cd
```

=====

# 11
# Mg2RhBr

An optimized crystal structure of Mg2RhBr (GGA-PBE, Alexandria).

Calculated values
Magnetization in μB per formula unit: 0.0
Calculated density in g/cm3: 4.2
Density of states at the Fermi level in states/eV per cell: 0.9
Formation energy without anion corrections in eV per formula unit: -1.4

Structure (POSCAR):
```
Mg2RhBr
1.0
-1.789 -0.845 2.830
1.358 -3.472 -0.178
5.531 1.954 4.079
Mg Br Rh
2 1 1
direct
0.500 0.500 0.301 Mg
0.000 0.000 0.013 Mg
0.500 0.500 0.825 Br
0.000 0.000 0.361 Rh
```

=====

# 12
# ZnFe2CoH

An optimized crystal structure of ZnFe2CoH (GGA-PBE, Alexandria).

Calculated values
Magnetization in μB per formula unit: 6.0
Calculated density in g/cm3: 8.0
Calculated total energy in eV per atom: -5.759
Density of states at the Fermi level in states/eV per cell: 2.9

Structure (POSCAR):
```
ZnFe2CoH
1.0
3.685 0.000 0.000
0.000 3.685 0.000
0.000 0.000 3.642
H Co Fe Zn
1 1 2 1
direct
0.000 0.000 0.000 H
0.000 0.000 0.500 Co
0.500 0.000 0.000 Fe
0.000 0.500 0.000 Fe
0.500 0.500 0.500 Zn
```

=====

The highest magnetization belongs to which entry? ZnFe2CoH